# 1
Compound: PbClOF2
Source: Alexandria
Functional: PBE-GGA
Structure: relaxed

## Properties
The value obtained for the density of states at the Fermi level is 2.17 states/eV/cell. Its raw formation energy is -817 meV/atom. For the uncorrected energy, the calculation gives -3.67 eV per atom. The value obtained for the volume is 15.7 Å³ per atom. As for the space group: P4/mmm (123).

Unit cell a=4.282 b=4.282 c=4.281 alpha=90.00 beta=90.00 gamma=90.00
Last column: magnetic moment on the atom in μB.
Sites, in units of the cell vectors:
Cl  0.500  0.500  0.500  0.60
O  0.000  0.000  0.500  0.44
F  0.000  0.500  0.000  0.00
F  0.500  0.000  0.000  0.00
Pb  0.000  0.000  0.000  -0.01

# 2
Compound: Pb2ClOF
Source: Alexandria
Functional: PBE-GGA
Structure: relaxed

## Properties
As for the energy above the lowest structure with this stoichiometry: 63 meV per atom. The value obtained for the density of states at the Fermi level is 0.00 states/eV/cell. Its raw formation energy is -1522 meV/atom. For the uncorrected energy, the calculation gives -4.74 eV per atom. The value obtained for the volume is 21.3 Å³ per atom. As for the space group: I-4m2 (119).

Unit cell a=4.067 b=4.067 c=7.060 alpha=106.74 beta=106.74 gamma=90.00
Sites, in units of the cell vectors:
Pb  0.646  0.646  0.293
Pb  0.354  0.354  0.707
O  0.250  0.750  0.500
F  0.750  0.250  0.500
Cl  0.000  0.000  0.000

# 3
Compound: Pb2ClOF
Source: Alexandria
Functional: PBE-GGA
Structure: relaxed

## Properties
As for the energy above the lowest structure with this stoichiometry: 0 meV per atom. The value obtained for the density of states at the Fermi level is 0.00 states/eV/cell. Its raw formation energy is -1585 meV/atom. For the uncorrected energy, the calculation gives -4.80 eV per atom. The value obtained for the volume is 22.0 Å³ per atom. As for the space group: Cmme (67).

Unit cell a=7.041 b=7.041 c=5.883 alpha=90.00 beta=90.00 gamma=131.02
Sites, in units of the cell vectors:
Cl  0.750  0.750  0.792
Cl  0.250  0.250  0.208
F  0.250  0.750  0.500
F  0.750  0.250  0.500
Pb  0.898  0.602  0.219
Pb  0.602  0.898  0.219
Pb  0.398  0.102  0.781
Pb  0.102  0.398  0.781
O  0.750  0.250  0.000
O  0.250  0.750  0.000

# 4
Compound: TiPb2Se2ClO7F
Source: Alexandria
Functional: PBE-GGA
Structure: relaxed

## Properties
The value obtained for the density of states at the Fermi level is 0.00 states/eV/cell. Its raw formation energy is -1579 meV/atom. For the uncorrected energy, the calculation gives -5.91 eV per atom. The value obtained for the volume is 16.9 Å³ per atom. As for the space group: P2_1 (4).

Unit cell a=5.454 b=8.523 c=10.985 alpha=68.00 beta=90.00 gamma=90.00
Sites, in units of the cell vectors:
O  0.789  0.441  0.631
O  0.293  0.877  0.891
O  0.946  0.324  0.873
O  0.724  0.473  0.036
O  0.799  0.831  0.934
O  0.289  0.559  0.369
O  0.967  0.085  0.733
O  0.264  0.418  0.665
O  0.793  0.123  0.109
O  0.299  0.169  0.066
O  0.224  0.527  0.964
O  0.764  0.582  0.335
O  0.467  0.915  0.267
O  0.446  0.676  0.127
Se  0.020  0.871  0.810
Se  0.513  0.510  0.276
Se  0.520  0.129  0.190
Se  0.013  0.490  0.724
F  0.080  0.321  0.222
F  0.580  0.679  0.778
Cl  0.501  0.138  0.546
Cl  0.001  0.862  0.454
Pb  0.021  0.298  0.499
Pb  0.521  0.702  0.501
Pb  0.063  0.837  0.191
Pb  0.563  0.163  0.809
Ti  0.517  0.650  0.956
Ti  0.017  0.350  0.044

# 5
Compound: PtCl2OF
Source: Alexandria
Functional: PBE-GGA
Structure: relaxed

## Properties
The value obtained for the density of states at the Fermi level is 6.83 states/eV/cell. Its raw formation energy is 27 meV/atom. For the uncorrected energy, the calculation gives -3.29 eV per atom. The value obtained for the volume is 18.2 Å³ per atom. As for the space group: P4/mmm (123).

Unit cell a=4.945 b=3.728 c=4.945 alpha=90.00 beta=90.00 gamma=90.00
Last column: magnetic moment on the atom in μB.
Sites, in units of the cell vectors:
Cl  0.500  0.000  0.000  -0.22
Cl  0.000  0.000  0.500  -0.11
F  0.500  0.500  0.500  -0.56
O  0.000  0.500  0.000  -0.05
Pt  0.000  0.000  0.000  -0.11

# 6
Compound: Rb8Cl3O2F
Source: Alexandria
Functional: PBE-GGA
Structure: relaxed

## Properties
Its raw formation energy is -1518 meV/atom. For the uncorrected energy, the calculation gives -3.31 eV per atom. The value obtained for the volume is 36.1 Å³ per atom. As for the space group: P-3m1 (164).

Unit cell a=7.726 b=7.726 c=9.775 alpha=90.00 beta=90.00 gamma=120.00
Last column: magnetic moment on the atom in μB.
Sites, in units of the cell vectors:
Rb  0.332  0.166  0.686  0.00
Rb  0.166  0.332  0.314  0.00
Rb  0.667  0.333  0.066  0.00
Rb  0.333  0.667  0.934  0.00
Rb  0.668  0.834  0.314  0.00
Rb  0.166  0.834  0.314  0.00
Rb  0.834  0.668  0.686  0.00
Rb  0.834  0.166  0.686  0.00
O  0.667  0.333  0.813  0.10
O  0.333  0.667  0.187  0.10
Cl  0.333  0.667  0.597  0.00
Cl  0.000  0.000  0.000  0.00
Cl  0.667  0.333  0.403  0.00
F  0.000  0.000  0.500  0.00

# 7
Compound: Rb6Cl2OF
Source: Alexandria
Functional: PBE-GGA
Structure: relaxed

## Properties
The value obtained for the density of states at the Fermi level is 3.11 states/eV/cell. Its raw formation energy is -1497 meV/atom. For the uncorrected energy, the calculation gives -3.13 eV per atom. The value obtained for the volume is 37.3 Å³ per atom. As for the space group: R-3m (166).

Unit cell a=7.811 b=7.811 c=14.820 alpha=74.72 beta=74.72 gamma=60.00
Sites, in units of the cell vectors:
Rb  0.797  0.285  0.121
Rb  0.143  0.620  0.616
Rb  0.203  0.203  0.879
Rb  0.203  0.715  0.879
Rb  0.620  0.143  0.616
Rb  0.285  0.797  0.121
Rb  0.620  0.620  0.616
Rb  0.380  0.857  0.384
Rb  0.380  0.380  0.384
Rb  0.797  0.797  0.121
Rb  0.715  0.203  0.879
Rb  0.857  0.380  0.384
Cl  0.262  0.262  0.214
Cl  0.738  0.738  0.786
Cl  0.856  0.856  0.433
Cl  0.144  0.144  0.567
F  0.586  0.586  0.243
F  0.414  0.414  0.757
O  0.500  0.500  0.500
O  0.000  0.000  0.000

# 8
Compound: Rb2Cl6OF
Source: Alexandria
Functional: PBE-GGA
Structure: relaxed

## Properties
The value obtained for the density of states at the Fermi level is 5.53 states/eV/cell. Its raw formation energy is -511 meV/atom. For the uncorrected energy, the calculation gives -2.50 eV per atom. The value obtained for the volume is 25.2 Å³ per atom. As for the space group: I4/mmm (139).

Unit cell a=7.448 b=7.448 c=6.958 alpha=57.64 beta=57.64 gamma=90.00
Sites, in units of the cell vectors:
Rb  0.750  0.250  0.500
Rb  0.250  0.750  0.500
Cl  0.292  0.292  0.000
Cl  0.224  0.224  0.552
Cl  0.708  0.292  0.000
Cl  0.708  0.708  0.000
Cl  0.776  0.776  0.448
Cl  0.292  0.708  0.000
F  0.000  0.000  0.000
O  0.500  0.500  0.000

# 9
Compound: Rb6Cl2OF2
Source: Alexandria
Functional: PBE-GGA
Structure: relaxed

## Properties
Its raw formation energy is -1915 meV/atom. For the uncorrected energy, the calculation gives -3.57 eV per atom. The value obtained for the volume is 32.2 Å³ per atom. As for the space group: C2/m (12).

Unit cell a=7.332 b=7.332 c=8.014 alpha=99.06 beta=99.06 gamma=119.93
Last column: magnetic moment on the atom in μB.
Sites, in units of the cell vectors:
Cl  0.170  0.830  0.000  0.00
Cl  0.830  0.170  0.000  0.00
Rb  0.241  0.241  0.305  0.00
Rb  0.056  0.388  0.699  0.00
Rb  0.944  0.612  0.301  0.00
Rb  0.388  0.056  0.699  0.00
Rb  0.759  0.759  0.695  0.00
Rb  0.612  0.944  0.301  0.00
F  0.334  0.666  0.500  0.00
F  0.666  0.334  0.500  0.00
O  0.000  0.000  0.500  0.11

# 10
Compound: Rb6Cl3OF2
Source: Alexandria
Functional: PBE-GGA
Structure: relaxed

## Properties
Its raw formation energy is -1933 meV/atom. For the uncorrected energy, the calculation gives -3.60 eV per atom. The value obtained for the volume is 30.4 Å³ per atom. As for the space group: C2/m (12).

Unit cell a=7.643 b=7.643 c=7.657 alpha=99.57 beta=99.57 gamma=119.99
Last column: magnetic moment on the atom in μB.
Sites, in units of the cell vectors:
Rb  0.072  0.412  0.216  0.00
Rb  0.412  0.072  0.216  0.00
Rb  0.588  0.928  0.784  0.00
Rb  0.731  0.731  0.214  0.00
Rb  0.269  0.269  0.786  0.00
Rb  0.928  0.588  0.784  0.00
F  0.333  0.667  0.000  0.00
F  0.667  0.333  0.000  0.00
O  0.000  0.000  0.000  0.73
Cl  0.500  0.500  0.500  0.00
Cl  0.164  0.836  0.500  0.00
Cl  0.836  0.164  0.500  0.00

# 11
Compound: Rb6ClO2F
Source: Alexandria
Functional: PBE-GGA
Structure: relaxed

## Properties
Its raw formation energy is -1410 meV/atom. For the uncorrected energy, the calculation gives -3.35 eV per atom. The value obtained for the volume is 31.8 Å³ per atom. As for the space group: P2_1/c (14).

Unit cell a=7.571 b=7.462 c=11.291 alpha=90.00 beta=86.71 gamma=90.00
Last column: magnetic moment on the atom in μB.
Sites, in units of the cell vectors:
Rb  0.181  0.630  0.248  0.00
Rb  0.631  0.670  0.461  0.00
Rb  0.784  0.165  0.362  0.00
Rb  0.869  0.170  0.039  0.00
Rb  0.681  0.870  0.748  0.00
Rb  0.216  0.835  0.638  0.00
Rb  0.716  0.665  0.138  0.00
Rb  0.131  0.830  0.961  0.00
Rb  0.369  0.330  0.539  0.00
Rb  0.319  0.130  0.252  0.00
Rb  0.819  0.370  0.752  0.00
Rb  0.284  0.335  0.862  0.00
O  0.993  0.947  0.204  0.06
O  0.493  0.553  0.704  0.06
O  0.507  0.447  0.296  0.06
O  0.007  0.053  0.796  0.06
Cl  0.500  0.000  0.000  0.00
Cl  0.000  0.500  0.500  0.00
F  0.000  0.500  0.000  0.00
F  0.500  0.000  0.500  0.00

# 12
Compound: Rb2ClOF6
Source: Alexandria
Functional: PBE-GGA
Structure: relaxed

## Properties
The value obtained for the density of states at the Fermi level is 12.66 states/eV/cell. Its raw formation energy is -1181 meV/atom. For the uncorrected energy, the calculation gives -3.18 eV per atom. The value obtained for the volume is 17.0 Å³ per atom. As for the space group: I4/mmm (139).

Unit cell a=6.141 b=6.141 c=6.268 alpha=60.67 beta=60.67 gamma=90.00
Sites, in units of the cell vectors:
F  0.800  0.800  0.401
F  0.295  0.705  0.000
F  0.705  0.705  0.000
F  0.295  0.295  0.000
F  0.705  0.295  0.000
F  0.200  0.200  0.599
Rb  0.750  0.250  0.500
Rb  0.250  0.750  0.500
O  0.500  0.500  0.000
Cl  0.000  0.000  0.000

> Among the records above, which one has the highest raw formation energy?

PtCl2OF